## Tc2NiSb (PBEsol)

Data for Tc2NiSb after structural relaxation.

Computed properties:
Crystal system: monoclinic
E: -31.57 eV per cell
Formation energy from raw total energies: 0.42 eV/atom

a = 5.026 Å, b = 5.026 Å, c = 2.920 Å
α = 101.44°, β = 101.44°, γ = 118.61°
Fractional coordinates of all 4 atoms:
Tc 0.000 0.500 0.000
Tc 0.500 0.000 0.000
Ni 0.000 0.000 0.500
Sb 0.500 0.500 0.500



## TcNi2Sb (PBEsol)

Data for TcNi2Sb after structural relaxation.

Computed properties:
Crystal system: cubic
E: -27.28 eV per cell
Formation energy from raw total energies: 0.22 eV/atom
E above lowest polymorph: 35 meV per atom

a = 4.237 Å, b = 4.237 Å, c = 4.237 Å
α = 60.00°, β = 60.00°, γ = 60.00°
Fractional coordinates of all 4 atoms:
Tc 0.000 0.000 0.000
Ni 0.250 0.250 0.250
Ni 0.750 0.750 0.750
Sb 0.500 0.500 0.500



## TcNi6Sb (PBEsol)

Data for TcNi6Sb after structural relaxation.

Computed properties:
Crystal system: orthorhombic
E: -211.73 eV per cell
Formation energy from raw total energies: -0.02 eV/atom

a = 6.265 Å, b = 6.265 Å, c = 10.254 Å
α = 90.00°, β = 90.00°, γ = 109.44°
Fractional coordinates of all 32 atoms:
Tc 0.000 0.000 0.248
Tc 0.000 0.000 0.752
Tc 0.249 0.751 0.000
Tc 0.751 0.249 0.000
Ni 0.000 0.000 0.000
Ni 0.000 0.000 0.500
Ni 0.117 0.372 0.121
Ni 0.117 0.372 0.879
Ni 0.120 0.366 0.370
Ni 0.120 0.366 0.630
Ni 0.245 0.755 0.242
Ni 0.245 0.755 0.758
Ni 0.366 0.120 0.370
Ni 0.366 0.120 0.630
Ni 0.372 0.117 0.121
Ni 0.372 0.117 0.879
Ni 0.500 0.500 0.000
Ni 0.500 0.500 0.500
Ni 0.628 0.883 0.121
Ni 0.628 0.883 0.879
Ni 0.634 0.880 0.370
Ni 0.634 0.880 0.630
Ni 0.755 0.245 0.242
Ni 0.755 0.245 0.758
Ni 0.880 0.634 0.370
Ni 0.880 0.634 0.630
Ni 0.883 0.628 0.121
Ni 0.883 0.628 0.879
Sb 0.251 0.749 0.500
Sb 0.500 0.500 0.247
Sb 0.500 0.500 0.753
Sb 0.749 0.251 0.500



## TcNiSb2Te (PBEsol)

Data for TcNiSb2Te after structural relaxation.

Computed properties:
Crystal system: tetragonal
E: -25.12 eV per cell
Formation energy from raw total energies: 0.99 eV/atom

a = 5.027 Å, b = 5.027 Å, c = 5.101 Å
α = 90.00°, β = 90.00°, γ = 90.00°
Fractional coordinates of all 5 atoms:
Tc 0.000 0.000 0.000
Ni 0.500 0.500 0.500
Sb 0.000 0.500 0.000
Sb 0.500 0.000 0.000
Te 0.000 0.000 0.500



## Ni2SbTe (PBEsol)

Data for Ni2SbTe after structural relaxation.

Computed properties:
Crystal system: orthorhombic
E: -19.78 eV per cell
Formation energy from raw total energies: 0.16 eV/atom
E above lowest polymorph: 426 meV per atom

a = 4.574 Å, b = 4.574 Å, c = 4.574 Å
α = 120.30°, β = 119.64°, γ = 90.05°
Fractional coordinates of all 4 atoms:
Ni 0.243 0.243 0.000
Ni 0.757 0.757 0.000
Sb 0.000 0.500 0.500
Te 0.500 0.000 0.500



## Ni2SbTe (PBEsol)

Data for Ni2SbTe after structural relaxation.

Computed properties:
Crystal system: cubic
E: -17.90 eV per cell
Formation energy from raw total energies: 0.62 eV/atom
E above lowest polymorph: 894 meV per atom

a = 4.662 Å, b = 4.662 Å, c = 4.662 Å
α = 60.00°, β = 60.00°, γ = 60.00°
Fractional coordinates of all 4 atoms:
Ni 0.000 0.000 0.000
Ni 0.250 0.250 0.250
Sb 0.750 0.750 0.750
Te 0.500 0.500 0.500



## NiSbTe2 (PBEsol)

Data for NiSbTe2 after structural relaxation.

Computed properties:
Crystal system: tetragonal
E: -34.77 eV per cell
Formation energy from raw total energies: 0.09 eV/atom

a = 7.218 Å, b = 7.218 Å, c = 7.218 Å
α = 126.73°, β = 126.73°, γ = 78.69°
Fractional coordinates of all 8 atoms:
Ni 0.000 0.000 0.000
Ni 0.750 0.250 0.500
Sb 0.250 0.750 0.500
Sb 0.500 0.500 0.000
Te 0.052 0.625 0.927
Te 0.375 0.302 0.427
Te 0.698 0.125 0.073
Te 0.875 0.948 0.573



## Ni2SbTe (PBEsol)

Data for Ni2SbTe after structural relaxation.

Computed properties:
Crystal system: trigonal
E: -20.63 eV per cell
Formation energy from raw total energies: -0.06 eV/atom
E above lowest polymorph: 212 meV per atom

a = 6.373 Å, b = 6.373 Å, c = 6.373 Å
α = 33.46°, β = 33.46°, γ = 33.46°
Fractional coordinates of all 4 atoms:
Ni 0.249 0.249 0.249
Ni 0.751 0.751 0.751
Sb 0.500 0.500 0.500
Te 0.000 0.000 0.000



Please write out number 6 again, unchanged.
## Ni2SbTe (PBEsol)

Data for Ni2SbTe after structural relaxation.

Computed properties:
Crystal system: cubic
E: -17.90 eV per cell
Formation energy from raw total energies: 0.62 eV/atom
E above lowest polymorph: 894 meV per atom

a = 4.662 Å, b = 4.662 Å, c = 4.662 Å
α = 60.00°, β = 60.00°, γ = 60.00°
Fractional coordinates of all 4 atoms:
Ni 0.000 0.000 0.000
Ni 0.250 0.250 0.250
Sb 0.750 0.750 0.750
Te 0.500 0.500 0.500



Question: Number 1 is which compound?
Answer: Tc2NiSb



Question: The highest formation energy from raw total energies belongs to which entry?
Answer: TcNiSb2Te



Question: What is the E in the eighth record?
Answer: -20.63 eV per cell